Record 1
# Tb3Ho2Tm2 PBE relaxed
# ΔE to the lowest computed polymorph: 0 meV per atom
# DFT total energy: -4.551 eV/atom
# Volume: 30.9 A^3/atom
data_Tb3Ho2Tm2
_symmetry_space_group_name_H-M 'C 1 2/m 1'
_symmetry_Int_Tables_number 12
_cell_length_a 11.6736
_cell_length_b 3.5173
_cell_length_c 10.5803
_cell_angle_alpha 90.00
_cell_angle_beta 95.90
_cell_angle_gamma 90.00
loop_
_symmetry_equiv_pos_as_xyz
'x,y,z'
'-x,-y,-z'
'-x,y,-z'
'x,-y,z'
'x+1/2,y+1/2,z'
'-x+1/2,-y+1/2,-z'
'-x+1/2,y+1/2,-z'
'x+1/2,-y+1/2,z'
loop_
_atom_site_label
_atom_site_type_symbol
_atom_site_fract_x
_atom_site_fract_y
_atom_site_fract_z
Tb1 Tb 0.0000 0.0000 0.0000
Tb2 Tb 0.1427 0.0000 0.5712
Ho1 Ho 0.2147 0.5000 0.8575
Tm1 Tm 0.0714 0.5000 0.2855

Record 2
# PrDy4Er2 PBE relaxed
# ΔE to the lowest computed polymorph: 0 meV per atom
# DFT total energy: -4.583 eV/atom
# Volume: 32.0 A^3/atom
data_PrDy4Er2
_symmetry_space_group_name_H-M 'C 1 2/m 1'
_symmetry_Int_Tables_number 12
_cell_length_a 16.6402
_cell_length_b 3.5264
_cell_length_c 8.7381
_cell_angle_alpha 90.00
_cell_angle_beta 119.19
_cell_angle_gamma 90.00
loop_
_symmetry_equiv_pos_as_xyz
'x,y,z'
'-x,-y,-z'
'-x,y,-z'
'x,-y,z'
'x+1/2,y+1/2,z'
'-x+1/2,-y+1/2,-z'
'-x+1/2,y+1/2,-z'
'x+1/2,-y+1/2,z'
loop_
_atom_site_label
_atom_site_type_symbol
_atom_site_fract_x
_atom_site_fract_y
_atom_site_fract_z
Pr1 Pr 0.0000 0.0000 0.0000
Dy1 Dy 0.1408 0.5000 0.8313
Dy2 Dy 0.2055 0.5000 0.2945
Er1 Er 0.0708 0.0000 0.4309

Record 3
# BaScB2Pt PBE relaxed
# DFT total energy: -4.796 eV/atom
# Volume: 22.7 A^3/atom
data_BaScB2Pt
_symmetry_space_group_name_H-M 'P 4/m m m'
_symmetry_Int_Tables_number 123
_symmetry_space_group_name_Hall '-P 4 2'
_cell_length_a 4.7210
_cell_length_b 4.7210
_cell_length_c 5.0819
_cell_angle_alpha 90.00
_cell_angle_beta 90.00
_cell_angle_gamma 90.00
loop_
_atom_site_label
_atom_site_type_symbol
_atom_site_fract_x
_atom_site_fract_y
_atom_site_fract_z
Ba1 Ba 0.0000 0.0000 0.0000
Sc1 Sc 0.5000 0.5000 0.5000
B1 B 0.0000 0.5000 0.5000
Pt1 Pt 0.5000 0.5000 0.0000

What did the second record say?
# PrDy4Er2 PBE relaxed
# ΔE to the lowest computed polymorph: 0 meV per atom
# DFT total energy: -4.583 eV/atom
# Volume: 32.0 A^3/atom
data_PrDy4Er2
_symmetry_space_group_name_H-M 'C 1 2/m 1'
_symmetry_Int_Tables_number 12
_cell_length_a 16.6402
_cell_length_b 3.5264
_cell_length_c 8.7381
_cell_angle_alpha 90.00
_cell_angle_beta 119.19
_cell_angle_gamma 90.00
loop_
_symmetry_equiv_pos_as_xyz
'x,y,z'
'-x,-y,-z'
'-x,y,-z'
'x,-y,z'
'x+1/2,y+1/2,z'
'-x+1/2,-y+1/2,-z'
'-x+1/2,y+1/2,-z'
'x+1/2,-y+1/2,z'
loop_
_atom_site_label
_atom_site_type_symbol
_atom_site_fract_x
_atom_site_fract_y
_atom_site_fract_z
Pr1 Pr 0.0000 0.0000 0.0000
Dy1 Dy 0.1408 0.5000 0.8313
Dy2 Dy 0.2055 0.5000 0.2945
Er1 Er 0.0708 0.0000 0.4309

Copy entry 2 word for word.
# PrDy4Er2 PBE relaxed
# ΔE to the lowest computed polymorph: 0 meV per atom
# DFT total energy: -4.583 eV/atom
# Volume: 32.0 A^3/atom
data_PrDy4Er2
_symmetry_space_group_name_H-M 'C 1 2/m 1'
_symmetry_Int_Tables_number 12
_cell_length_a 16.6402
_cell_length_b 3.5264
_cell_length_c 8.7381
_cell_angle_alpha 90.00
_cell_angle_beta 119.19
_cell_angle_gamma 90.00
loop_
_symmetry_equiv_pos_as_xyz
'x,y,z'
'-x,-y,-z'
'-x,y,-z'
'x,-y,z'
'x+1/2,y+1/2,z'
'-x+1/2,-y+1/2,-z'
'-x+1/2,y+1/2,-z'
'x+1/2,-y+1/2,z'
loop_
_atom_site_label
_atom_site_type_symbol
_atom_site_fract_x
_atom_site_fract_y
_atom_site_fract_z
Pr1 Pr 0.0000 0.0000 0.0000
Dy1 Dy 0.1408 0.5000 0.8313
Dy2 Dy 0.2055 0.5000 0.2945
Er1 Er 0.0708 0.0000 0.4309

- What is the formula in the first record?
  Tb3Ho2Tm2